VASP calculation (PBE) on an optimized crystal structure of Tb2DyTmP4.

The space group is P2/m (No. 10) and the conventional cell measures 6.932, 4.004 and 6.933 Å, with angles of 90.00, 109.47 and 90.00 degrees. The inequivalent atoms are Tb at (0.000, 0.000, 0.000), Tb at (0.000, 0.500, 0.500), Dy at (0.500, 0.000, 0.500), Tm at (0.500, 0.500, 0.000), P at (0.253, 0.500, 0.249) and P at (0.254, 0.000, 0.753).

The formation enthalpy at 0 K is -1610 meV per atom.